Rh2WIO (GGA+U, relaxed); crystal system = tetragonal; symmetry = P4/mmm; total DFT energy (no corrections) = -3.7520 eV per atom
1.0
4.8061 0.0000 0.0000
0.0000 5.6569 0.0000
0.0000 0.0000 4.8061
W Rh I O
1 2 1 1
Cartesian
0.0000 2.8284 0.0000
0.0000 0.0000 2.4030
2.4030 0.0000 0.0000
0.0000 0.0000 0.0000
2.4030 2.8284 2.4030